# 1
# CrFeBr2 | Alexandria | PBE-GGA | optimized geometry
data_CrFeBr2
_space_group_name_H-M_alt 'I -4 2 d'
_space_group_IT_number 122
_space_group_name_Hall 'I -4 2bw'
_cell_length_a 5.3966
_cell_length_b 5.3966
_cell_length_c 10.7693
_cell_angle_alpha 90.00
_cell_angle_beta 90.00
_cell_angle_gamma 90.00
loop_
_atom_site_label
_atom_site_type_symbol
_atom_site_fract_x
_atom_site_fract_y
_atom_site_fract_z
_atom_site_occupancy
Cr1 Cr 0.0000 0.0000 0.0000 1
Fe1 Fe 0.0000 0.0000 0.5000 1
Br1 Br 0.2432 0.2500 0.6250 1
# **Volume**: 314 Å³ per cell
# **Relative energy among the computed polymorphs**: 3.11 eV/f.u.
# **Crystal system**: tetragonal



# 2
# NbCd3Bi | Alexandria | PBE-GGA | optimized geometry
data_NbCd3Bi
_space_group_name_H-M_alt 'P m -3 m'
_space_group_IT_number 221
_space_group_name_Hall '-P 4 2 3'
_cell_length_a 5.3775
_cell_length_b 5.3775
_cell_length_c 5.3775
_cell_angle_alpha 90.00
_cell_angle_beta 90.00
_cell_angle_gamma 90.00
loop_
_atom_site_label
_atom_site_type_symbol
_atom_site_fract_x
_atom_site_fract_y
_atom_site_fract_z
_atom_site_occupancy
Nb1 Nb 0.0000 0.0000 0.0000 1
Cd1 Cd 0.0000 0.0000 0.5000 1
Bi1 Bi 0.5000 0.5000 0.5000 1
# **Volume**: 156 Å³ per cell
# **DFT formation energy**: 0.95 eV per atom
# **Relative energy among the computed polymorphs**: 0.00 eV/f.u.
# **Crystal system**: cubic



# 3
# CsInAg | Alexandria | PBE-GGA | optimized geometry
data_CsInAg
_space_group_name_H-M_alt 'P -1'
_space_group_IT_number 2
_cell_length_a 4.9151
_cell_length_b 6.8758
_cell_length_c 7.3063
_cell_angle_alpha 95.87
_cell_angle_beta 90.20
_cell_angle_gamma 110.77
loop_
_space_group_symop_operation_xyz
'x,y,z'
'-x,-y,-z'
loop_
_atom_site_label
_atom_site_type_symbol
_atom_site_fract_x
_atom_site_fract_y
_atom_site_fract_z
_atom_site_occupancy
Cs1 Cs 0.1263 0.2509 0.3632 1
In1 In 0.4089 0.8173 0.1205 1
Ag1 Ag 0.2018 0.4049 0.9092 1
# **Volume**: 229 Å³ per cell
# **DFT formation energy**: -0.03 eV per atom
# **Relative energy among the computed polymorphs**: 0.00 eV/f.u.
# **Crystal system**: triclinic



# 4
# LaZn6O6 | Alexandria | PBE-GGA | optimized geometry
data_LaZn6O6
_space_group_name_H-M_alt 'P m -3'
_space_group_IT_number 200
_space_group_name_Hall '-P 2 2 3'
_cell_length_a 5.8284
_cell_length_b 5.8284
_cell_length_c 5.8284
_cell_angle_alpha 90.00
_cell_angle_beta 90.00
_cell_angle_gamma 90.00
loop_
_atom_site_label
_atom_site_type_symbol
_atom_site_fract_x
_atom_site_fract_y
_atom_site_fract_z
_atom_site_occupancy
La1 La 0.0000 0.0000 0.0000 1
Zn1 Zn 0.0000 0.2657 0.5000 1
O1 O 0.0000 0.5000 0.2363 1
# **Volume**: 198 Å³ per cell
# **Crystal system**: cubic
# **DFT total energy**: -4.347 eV per atom



# 5
# Ba6PtAu2Br3 | Alexandria | PBE-GGA | optimized geometry
data_Ba6PtAu2Br3
_space_group_name_H-M_alt 'C 1 2/m 1'
_space_group_IT_number 12
_cell_length_a 8.0476
_cell_length_b 13.9390
_cell_length_c 8.8495
_cell_angle_alpha 90.00
_cell_angle_beta 107.66
_cell_angle_gamma 90.00
loop_
_space_group_symop_operation_xyz
'x,y,z'
'-x,-y,-z'
'-x,y,-z'
'x,-y,z'
'x+1/2,y+1/2,z'
'-x+1/2,-y+1/2,-z'
'-x+1/2,y+1/2,-z'
'x+1/2,-y+1/2,z'
loop_
_atom_site_label
_atom_site_type_symbol
_atom_site_fract_x
_atom_site_fract_y
_atom_site_fract_z
_atom_site_occupancy
Ba1 Ba 0.2328 0.1601 0.2179 1
Ba2 Ba 0.2476 0.0000 0.7825 1
Pt1 Pt 0.0000 0.0000 0.0000 1
Au1 Au 0.0000 0.3333 0.0000 1
Br1 Br 0.0000 0.1667 0.5000 1
Br2 Br 0.0000 0.5000 0.5000 1
# **Volume**: 946 Å³ per cell
# **Crystal system**: monoclinic
# **DFT total energy**: -3.660 eV per atom



# 6
# LiAcBiSb | Alexandria | PBE-GGA | optimized geometry
data_LiAcBiSb
_space_group_name_H-M_alt 'F -4 3 m'
_space_group_IT_number 216
_space_group_name_Hall 'F -4 2 3'
_cell_length_a 7.9142
_cell_length_b 7.9142
_cell_length_c 7.9142
_cell_angle_alpha 90.00
_cell_angle_beta 90.00
_cell_angle_gamma 90.00
loop_
_atom_site_label
_atom_site_type_symbol
_atom_site_fract_x
_atom_site_fract_y
_atom_site_fract_z
_atom_site_occupancy
Li1 Li 0.0000 0.0000 0.0000 1
Ac1 Ac 0.0000 0.0000 0.5000 1
Bi1 Bi 0.2500 0.2500 0.7500 1
Sb1 Sb 0.2500 0.2500 0.2500 1
# **Volume**: 496 Å³ per cell
# **Crystal system**: cubic
# **DFT total energy**: -4.043 eV per atom



# 7
# Ti2TlSe4 | Alexandria | PBE-GGA | optimized geometry
data_Ti2TlSe4
_space_group_name_H-M_alt 'R -3 m'
_space_group_IT_number 166
_space_group_name_Hall '-R 3 2"'
_cell_length_a 3.5536
_cell_length_b 3.5536
_cell_length_c 45.9022
_cell_angle_alpha 90.00
_cell_angle_beta 90.00
_cell_angle_gamma 120.00
loop_
_atom_site_label
_atom_site_type_symbol
_atom_site_fract_x
_atom_site_fract_y
_atom_site_fract_z
_atom_site_occupancy
Ti1 Ti 0.0000 0.0000 0.0695 1
Tl1 Tl 0.0000 0.0000 0.5000 1
Se1 Se 0.0000 0.0000 0.2294 1
Se2 Se 0.0000 0.0000 0.3697 1
# **Volume**: 502 Å³ per cell
# **Relative energy among the computed polymorphs**: 0.00 eV/f.u.
# **Crystal system**: trigonal



# 8
# Pm6Au3O14 | Alexandria | PBE-GGA | optimized geometry
data_Pm6Au3O14
_space_group_name_H-M_alt 'P 3'
_space_group_IT_number 143
_cell_length_a 8.4037
_cell_length_b 8.4037
_cell_length_c 5.6107
_cell_angle_alpha 90.00
_cell_angle_beta 90.00
_cell_angle_gamma 120.00
loop_
_space_group_symop_operation_xyz
'x,y,z'
'-y,x-y,z'
'-x+y,-x,z'
loop_
_atom_site_label
_atom_site_type_symbol
_atom_site_fract_x
_atom_site_fract_y
_atom_site_fract_z
_atom_site_occupancy
Pm1 Pm 0.0378 0.5767 0.0000 1
Pm2 Pm 0.2792 0.0715 0.5116 1
Au1 Au 0.0000 0.0000 0.9825 1
Au2 Au 0.3333 0.6667 0.4710 1
Au3 Au 0.6667 0.3333 0.3456 1
O1 O 0.0000 0.0000 0.3497 1
O2 O 0.0699 0.8251 0.7469 1
O3 O 0.1798 0.4293 0.2315 1
O4 O 0.3333 0.6667 0.8328 1
O5 O 0.4378 0.1937 0.1290 1
O6 O 0.5194 0.4158 0.5569 1
# **Volume**: 343 Å³ per cell
# **Crystal system**: trigonal
# **DFT total energy**: -6.726 eV per atom



# 9
# Nd6P3PbS2 | Alexandria | PBE-GGA | optimized geometry
data_Nd6P3PbS2
_space_group_name_H-M_alt 'C 1 2/m 1'
_space_group_IT_number 12
_cell_length_a 18.3858
_cell_length_b 4.1697
_cell_length_c 8.4999
_cell_angle_alpha 90.00
_cell_angle_beta 103.46
_cell_angle_gamma 90.00
loop_
_space_group_symop_operation_xyz
'x,y,z'
'-x,-y,-z'
'-x,y,-z'
'x,-y,z'
'x+1/2,y+1/2,z'
'-x+1/2,-y+1/2,-z'
'-x+1/2,y+1/2,-z'
'x+1/2,-y+1/2,z'
loop_
_atom_site_label
_atom_site_type_symbol
_atom_site_fract_x
_atom_site_fract_y
_atom_site_fract_z
_atom_site_occupancy
Nd1 Nd 0.0006 0.0000 0.2709 1
Nd2 Nd 0.1654 0.5000 0.5887 1
Nd3 Nd 0.1743 0.5000 0.0837 1
P1 P 0.0000 0.5000 0.5000 1
P2 P 0.1661 0.0000 0.8313 1
Pb1 Pb 0.0000 0.5000 0.0000 1
S1 S 0.1701 0.0000 0.3390 1
# **Volume**: 634 Å³ per cell
# **Crystal system**: monoclinic
# **DFT total energy**: -6.269 eV per atom



# 10
# CuHgTe2 | Alexandria | PBE-GGA | optimized geometry
data_CuHgTe2
_space_group_name_H-M_alt 'I 4/m c m'
_space_group_IT_number 140
_space_group_name_Hall '-I 4 2c'
_cell_length_a 8.8770
_cell_length_b 8.8770
_cell_length_c 5.4323
_cell_angle_alpha 90.00
_cell_angle_beta 90.00
_cell_angle_gamma 90.00
loop_
_atom_site_label
_atom_site_type_symbol
_atom_site_fract_x
_atom_site_fract_y
_atom_site_fract_z
_atom_site_occupancy
Cu1 Cu 0.0000 0.5000 0.2500 1
Hg1 Hg 0.0000 0.0000 0.2500 1
Te1 Te 0.1766 0.3234 0.0000 1
# **Volume**: 428 Å³ per cell
# **Crystal system**: tetragonal
# **DFT total energy**: -2.552 eV per atom